# Sr2MoHO6

A relaxed structure of Sr2MoHO6 (PBE+U, the Alexandria database).

Summary:
- Space group: P1
- Calculated total energy: -6.36 eV per atom

Unit cell a=5.630 b=5.955 c=6.130 alpha=118.55 beta=90.12 gamma=116.01
Element x y z (fractional)
Sr 0.000 0.000 0.000
Sr 0.402 0.881 0.423
Mo 0.214 0.439 0.685
H 0.602 0.386 0.380
O 0.015 0.458 0.430
O 0.068 0.579 0.950
O 0.313 0.240 0.791
O 0.406 0.263 0.355
O 0.521 0.788 0.773
O 0.890 0.043 0.417